SmY2AlO after structural relaxation, computed with PBE.

Computed properties:
* symmetry: P4/mmm, No. 123
* N(E_F): 0.369 states/eV per atom
* crystal system: tetragonal
* E_form (uncorrected): -1.358 eV/atom
* energy: -6.628 eV per atom

abc: 4.8677 4.7390 4.7390
angles: 90.00 90.00 90.00
Atoms (fractional coordinates):
Sm 0.5000 0.0000 0.0000
Y 0.0000 0.0000 0.5000
Y 0.0000 0.5000 0.0000
Al 0.5000 0.5000 0.5000
O 0.0000 0.0000 0.0000